Below is a geometry-optimized LiNiP3O9 structure, with properties calculated at the PBE+U level.

Unit cell a=5.1015 b=12.0340 c=13.0570 alpha=90.00 beta=90.00 gamma=90.00
Sites, in units of the cell vectors:
Li (0.0201, 0.0103, 0.2500)
Li (0.0201, 0.4897, 0.7500)
Li (0.9799, 0.5103, 0.2500)
Li (0.9799, 0.9897, 0.7500)
Ni (0.0000, 0.0000, 0.0000)
Ni (0.0000, 0.0000, 0.5000)
Ni (0.0000, 0.5000, 0.0000)
Ni (0.0000, 0.5000, 0.5000)
P (0.2425, 0.2500, 0.0000)
P (0.2425, 0.2500, 0.5000)
P (0.4993, 0.5860, 0.1353)
P (0.4993, 0.5860, 0.3647)
P (0.4993, 0.9140, 0.6353)
P (0.4993, 0.9140, 0.8647)
P (0.5007, 0.0860, 0.1353)
P (0.5007, 0.0860, 0.3647)
P (0.5007, 0.4140, 0.6353)
P (0.5007, 0.4140, 0.8647)
P (0.7575, 0.7500, 0.0000)
P (0.7575, 0.7500, 0.5000)
O (0.0970, 0.1558, 0.5483)
O (0.0970, 0.1558, 0.9517)
O (0.0970, 0.3442, 0.0483)
O (0.0970, 0.3442, 0.4517)
O (0.2112, 0.5584, 0.1337)
O (0.2112, 0.5584, 0.3663)
O (0.2112, 0.9416, 0.6337)
O (0.2112, 0.9416, 0.8663)
O (0.3067, 0.5014, 0.6029)
O (0.3067, 0.5014, 0.8971)
O (0.3067, 0.9986, 0.1029)
O (0.3067, 0.9986, 0.3971)
O (0.4153, 0.1213, 0.2500)
O (0.4153, 0.3787, 0.7500)
O (0.4553, 0.2027, 0.0814)
O (0.4553, 0.2027, 0.4186)
O (0.4553, 0.2973, 0.5814)
O (0.4553, 0.2973, 0.9186)
O (0.5447, 0.7027, 0.0814)
O (0.5447, 0.7027, 0.4186)
O (0.5447, 0.7973, 0.5814)
O (0.5447, 0.7973, 0.9186)
O (0.5847, 0.6213, 0.2500)
O (0.5847, 0.8787, 0.7500)
O (0.6933, 0.0014, 0.6029)
O (0.6933, 0.0014, 0.8971)
O (0.6933, 0.4986, 0.1029)
O (0.6933, 0.4986, 0.3971)
O (0.7888, 0.0584, 0.1337)
O (0.7888, 0.0584, 0.3663)
O (0.7888, 0.4416, 0.6337)
O (0.7888, 0.4416, 0.8663)
O (0.9030, 0.6558, 0.5483)
O (0.9030, 0.6558, 0.9517)
O (0.9030, 0.8442, 0.0483)
O (0.9030, 0.8442, 0.4517)

Summary:
Energy relative to the lowest polymorph listed for this composition (eV/atom): 0.0282
Calculated total energy (eV per atom): -6.718
V (Å³ per cell): 801.6